# 1
A plane-wave DFT calculation with PBE-GGA was carried out for an optimized crystal structure of LiPrNO.

Computed properties:
Raw total energy, eV per atom: -6.2854
Magnetization, μB/f.u.: 1.00
ΔE to the lowest computed polymorph, meV per atom: 201.9

Lattice parameters (Å, degrees): 4.968 4.968 4.612 90.00 90.00 90.00
Element x y z (fractional)
Li 0.250 0.250 0.001
Li 0.750 0.750 0.999
N 0.750 0.750 0.496
N 0.250 0.250 0.504
O 0.750 0.250 0.000
O 0.250 0.750 0.000
Pr 0.750 0.250 0.500
Pr 0.250 0.750 0.500

---

# 2
A plane-wave DFT calculation with PBE-GGA was carried out for an optimized crystal structure of LiPrNO.

Computed properties:
Raw total energy, eV per atom: -6.4736
Magnetization, μB/f.u.: 0.00
ΔE to the lowest computed polymorph, meV per atom: 13.7

Lattice parameters (Å, degrees): 3.741 4.665 5.883 90.00 90.00 90.00
Element x y z (fractional)
Li 0.000 0.501 0.230
Li 0.000 0.001 0.770
N 0.000 0.251 0.500
N 0.000 0.751 0.500
O 0.500 0.501 0.131
O 0.500 0.001 0.869
Pr 0.500 0.001 0.273
Pr 0.500 0.501 0.727

---

# 3
A plane-wave DFT calculation with PBE-GGA was carried out for an optimized crystal structure of LiPrNO.

Computed properties:
Raw total energy, eV per atom: -6.4873
Magnetization, μB/f.u.: 0.00
ΔE to the lowest computed polymorph, meV per atom: 0.0

Lattice parameters (Å, degrees): 5.814 6.879 4.832 90.00 90.00 90.00
Element x y z (fractional)
Li 0.513 0.101 0.488
Li 0.013 0.899 0.488
Li 0.987 0.101 0.988
Li 0.487 0.899 0.988
N 0.250 0.027 0.239
N 0.750 0.973 0.239
N 0.250 0.027 0.739
N 0.750 0.973 0.739
O 0.572 0.373 0.487
O 0.072 0.627 0.487
O 0.928 0.373 0.987
O 0.428 0.627 0.987
Pr 0.983 0.290 0.488
Pr 0.483 0.710 0.488
Pr 0.517 0.290 0.988
Pr 0.017 0.710 0.988

---

# 4
A plane-wave DFT calculation with PBE-GGA was carried out for an optimized crystal structure of LiPrNO.

Computed properties:
Raw total energy, eV per atom: -6.3077
Magnetization, μB/f.u.: 1.00
ΔE to the lowest computed polymorph, meV per atom: 179.6

Lattice parameters (Å, degrees): 3.828 3.828 7.359 90.00 90.00 90.00
Element x y z (fractional)
Li 0.750 0.250 0.500
Li 0.250 0.750 0.500
N 0.750 0.750 0.382
N 0.250 0.250 0.618
O 0.750 0.250 0.000
O 0.250 0.750 0.000
Pr 0.250 0.250 0.176
Pr 0.750 0.750 0.824

---

# 5
A plane-wave DFT calculation with PBE-GGA was carried out for an optimized crystal structure of LiPrNO.

Computed properties:
Raw total energy, eV per atom: -6.3491
Magnetization, μB/f.u.: 1.00
ΔE to the lowest computed polymorph, meV per atom: 138.2

Lattice parameters (Å, degrees): 3.669 5.550 5.333 90.00 90.00 90.00
Element x y z (fractional)
Li 0.500 0.007 0.256
Li 0.500 0.507 0.744
N 0.000 0.938 0.377
N 0.000 0.438 0.623
O 0.500 0.280 0.038
O 0.500 0.780 0.962
Pr 0.000 0.529 0.194
Pr 0.000 0.029 0.806

---

# 6
A plane-wave DFT calculation with PBE-GGA was carried out for an optimized crystal structure of LiSmNO.

Computed properties:
Raw total energy, eV per atom: -6.4062
Magnetization, μB/f.u.: 0.75
ΔE to the lowest computed polymorph, meV per atom: 125.2

Lattice parameters (Å, degrees): 3.923 4.728 6.396 90.00 90.00 90.00
Element x y z (fractional)
Li 0.500 0.975 0.159
Li 0.500 0.475 0.841
N 0.000 0.942 0.343
N 0.000 0.442 0.657
O 0.500 0.390 0.134
O 0.500 0.890 0.866
Sm 0.000 0.447 0.287
Sm 0.000 0.947 0.713

---

# 7
A plane-wave DFT calculation with PBE-GGA was carried out for an optimized crystal structure of LiSmNO.

Computed properties:
Raw total energy, eV per atom: -6.3779
Magnetization, μB/f.u.: 1.00
ΔE to the lowest computed polymorph, meV per atom: 153.5

Lattice parameters (Å, degrees): 4.864 4.864 4.530 90.00 90.00 90.00
Element x y z (fractional)
Li 0.750 0.750 0.001
Li 0.250 0.250 0.999
N 0.750 0.750 0.500
N 0.250 0.250 0.500
O 0.750 0.250 0.000
O 0.250 0.750 0.000
Sm 0.750 0.250 0.500
Sm 0.250 0.750 0.500

---

# 8
A plane-wave DFT calculation with PBE-GGA was carried out for an optimized crystal structure of LiSmNO.

Computed properties:
Raw total energy, eV per atom: -6.3509
Magnetization, μB/f.u.: 1.00
ΔE to the lowest computed polymorph, meV per atom: 180.6

Lattice parameters (Å, degrees): 3.753 3.753 7.272 90.00 90.00 90.00
Element x y z (fractional)
Li 0.750 0.250 0.500
Li 0.250 0.750 0.500
N 0.750 0.750 0.376
N 0.250 0.250 0.624
O 0.750 0.250 0.000
O 0.250 0.750 0.000
Sm 0.250 0.250 0.171
Sm 0.750 0.750 0.829

---

Please write out number 1 again, unchanged.
A plane-wave DFT calculation with PBE-GGA was carried out for an optimized crystal structure of LiPrNO.

Computed properties:
Raw total energy, eV per atom: -6.2854
Magnetization, μB/f.u.: 1.00
ΔE to the lowest computed polymorph, meV per atom: 201.9

Lattice parameters (Å, degrees): 4.968 4.968 4.612 90.00 90.00 90.00
Element x y z (fractional)
Li 0.250 0.250 0.001
Li 0.750 0.750 0.999
N 0.750 0.750 0.496
N 0.250 0.250 0.504
O 0.750 0.250 0.000
O 0.250 0.750 0.000
Pr 0.750 0.250 0.500
Pr 0.250 0.750 0.500

---

raw total energy of number 1 (LiPrNO)? -6.2854 eV per atom

---

Among the records above, which one has the highest raw total energy? number 1